A relaxed structure of TmMg5Hg3. Source: Alexandria, functional PBE.

a b c (Å): 8.5941 8.5941 6.2794
angles (deg): 90.00 90.00 120.00
Last column: nearest neighbours and their distance in Å.
Space group P6_3/mcm (No. 193)
Asymmetric unit:
Tm 0.0000 0.0000 0.0000  2 Tm 3.14, 6 Hg 3.19, 6 Mg 3.37
Mg 0.0000 0.3467 0.2500  5 Hg 2.84-3.15
Mg 0.3333 0.6667 0.0000  8 Mg 3.14-3.22, 6 Hg 3.31
Hg 0.0000 0.3234 0.7500  5 Mg 2.84-3.15

Calculated values
ρ   7.377 g cm⁻³
VASP energy   -1.72 eV per atom
DOS(E_F)   0.386 states/eV/atom
Magnetic moment   0.000 μB/f.u.

---

A relaxed structure of LiEr3Ag4. Source: Alexandria, functional PBE.

a b c (Å): 5.0065 5.0065 24.4693
angles (deg): 90.00 90.00 120.00
Last column: nearest neighbours and their distance in Å.
Space group R-3m (No. 166, hexagonal axes)
Asymmetric unit:
Li 0.0000 0.0000 0.0000  8 Ag 3.03-3.07
Er 0.0000 0.0000 0.2530  8 Ag 3.00-3.16
Er 0.0000 0.0000 0.5000  8 Ag 3.04-3.07
Ag 0.0000 0.0000 0.1239  1 Li 3.03, 7 Er 3.07-3.16
Ag 0.0000 0.0000 0.3758  5 Er 3.00-3.04, 3 Li 3.07

Calculated values
ρ   8.818 g cm⁻³
VASP energy   -3.64 eV per atom
DOS(E_F)   0.614 states/eV/atom
Magnetic moment   0.000 μB/f.u.

---

A relaxed structure of TaV6Sn2. Source: Alexandria, functional PBE.

a b c (Å): 4.5234 5.1912 12.7477
angles (deg): 90.00 90.00 90.00
Last column: nearest neighbours and their distance in Å.
Space group Immm (No. 71)
Asymmetric unit:
Ta 0.0000 0.0000 0.0000  4 V 2.63
V 0.0000 0.2410 0.5000  4 V 2.47-2.69, 2 Ta 2.63
V 0.0000 0.2546 0.3064  5 V 2.47-2.68, 1 Sn 2.75
Sn 0.0000 0.5000 0.1151  10 V 2.75-2.97, 1 Sn 2.93, 2 Ta 2.98

Calculated values
ρ   8.033 g cm⁻³
VASP energy   -7.92 eV per atom
DOS(E_F)   0.853 states/eV/atom
Magnetic moment   0.000 μB/f.u.

---

A relaxed structure of Na2HfMo. Source: Alexandria, functional PBE.

a b c (Å): 8.4055 8.4055 5.1910
angles (deg): 90.00 90.00 90.00
Last column: nearest neighbours and their distance in Å.
Space group I-42d (No. 122)
Asymmetric unit:
Na 0.2320 0.2500 0.1250  2 Na 2.61
Hf 0.0000 0.0000 0.5000  2 Mo 2.60
Mo 0.0000 0.0000 0.0000  2 Hf 2.60

Calculated values
ρ   5.803 g cm⁻³
VASP energy   -4.57 eV per atom
DOS(E_F)   0.777 states/eV/atom
Magnetic moment   0.854 μB/f.u.

---

A relaxed structure of SrCa4As. Source: Alexandria, functional PBE.

a b c (Å): 9.7961 9.7961 9.7961
angles (deg): 90.00 90.00 90.00
Last column: nearest neighbours and their distance in Å.
Space group F-43m (No. 216)
Asymmetric unit:
Sr 0.0000 0.0000 0.0000  12 Ca 4.06, 4 As 4.24
Ca 0.1241 0.1241 0.3759  6 Ca 3.44-3.49
As 0.2500 0.2500 0.7500  12 Ca 4.06, 4 Sr 4.24

Calculated values
ρ   2.281 g cm⁻³
VASP energy   -2.21 eV per atom
DOS(E_F)   1.229 states/eV/atom
Magnetic moment   0.001 μB/f.u.

---

Repeat the fifth record exactly.
A relaxed structure of SrCa4As. Source: Alexandria, functional PBE.

a b c (Å): 9.7961 9.7961 9.7961
angles (deg): 90.00 90.00 90.00
Last column: nearest neighbours and their distance in Å.
Space group F-43m (No. 216)
Asymmetric unit:
Sr 0.0000 0.0000 0.0000  12 Ca 4.06, 4 As 4.24
Ca 0.1241 0.1241 0.3759  6 Ca 3.44-3.49
As 0.2500 0.2500 0.7500  12 Ca 4.06, 4 Sr 4.24

Calculated values
ρ   2.281 g cm⁻³
VASP energy   -2.21 eV per atom
DOS(E_F)   1.229 states/eV/atom
Magnetic moment   0.001 μB/f.u.

---

Number 4 is which compound?
Na2HfMo

---

Among the records above, which one has the lowest VASP energy?
TaV6Sn2

---

Repeat the second record exactly.
A relaxed structure of LiEr3Ag4. Source: Alexandria, functional PBE.

a b c (Å): 5.0065 5.0065 24.4693
angles (deg): 90.00 90.00 120.00
Last column: nearest neighbours and their distance in Å.
Space group R-3m (No. 166, hexagonal axes)
Asymmetric unit:
Li 0.0000 0.0000 0.0000  8 Ag 3.03-3.07
Er 0.0000 0.0000 0.2530  8 Ag 3.00-3.16
Er 0.0000 0.0000 0.5000  8 Ag 3.04-3.07
Ag 0.0000 0.0000 0.1239  1 Li 3.03, 7 Er 3.07-3.16
Ag 0.0000 0.0000 0.3758  5 Er 3.00-3.04, 3 Li 3.07

Calculated values
ρ   8.818 g cm⁻³
VASP energy   -3.64 eV per atom
DOS(E_F)   0.614 states/eV/atom
Magnetic moment   0.000 μB/f.u.